(1)
Computed, not measured: an optimized crystal structure of OsS2NCl at the PBE level of DFT.

a = 4.795 Å, b = 4.795 Å, c = 3.720 Å
α = 90.00°, β = 90.00°, γ = 90.00°
Element x y z (fractional)
S: 0.000 0.500 0.000
S: 0.500 0.000 0.000
N: 0.000 0.000 0.500
Cl: 0.500 0.500 0.500
Os: 0.000 0.000 0.000

Summary:
Formation energy (no corrections)   3.3 eV/f.u.
Crystal system   tetragonal
DOS at the Fermi energy   5.48 states/eV/f.u.
Energy above the most stable polymorph in this dataset   0.000 eV per atom
Total magnetization   0.0 μB per formula unit

(2)
Computed, not measured: an optimized crystal structure of OsSN2Cl at the PBE level of DFT.

a = 3.721 Å, b = 3.721 Å, c = 4.393 Å
α = 90.00°, β = 90.00°, γ = 90.00°
Element x y z (fractional)
N: 0.500 0.000 0.000
Cl: 0.000 0.000 0.000
N: 0.000 0.500 0.000
S: 0.000 0.000 0.500
Os: 0.500 0.500 0.500

Summary:
Formation energy (no corrections)   13.7 eV/f.u.
Crystal system   tetragonal
DOS at the Fermi energy   4.04 states/eV/f.u.
Energy above the most stable polymorph in this dataset   1.966 eV per atom
Total magnetization   0.0 μB per formula unit

(3)
Computed, not measured: an optimized crystal structure of OsSN2Cl at the PBE level of DFT.

a = 3.770 Å, b = 3.770 Å, c = 5.285 Å
α = 90.00°, β = 90.00°, γ = 90.00°
Last column: magnetic moment on the atom in μB.
Element x y z (fractional)
N: 0.000 0.500 0.000  0.07
S: 0.000 0.000 0.500  0.00
Os: 0.000 0.000 0.000  -0.03
N: 0.500 0.000 0.000  0.07
Cl: 0.500 0.500 0.500  0.00

Summary:
Formation energy (no corrections)   3.9 eV/f.u.
Crystal system   tetragonal
DOS at the Fermi energy   2.50 states/eV/f.u.
Energy above the most stable polymorph in this dataset   0.000 eV per atom
Total magnetization   0.1 μB per formula unit

(4)
Computed, not measured: an optimized crystal structure of OsS2NCl at the PBE level of DFT.

a = 4.500 Å, b = 4.500 Å, c = 4.836 Å
α = 90.00°, β = 90.00°, γ = 90.00°
Element x y z (fractional)
S: 0.000 0.500 0.000
N: 0.500 0.500 0.500
S: 0.500 0.000 0.000
Cl: 0.000 0.000 0.500
Os: 0.000 0.000 0.000

Summary:
Formation energy (no corrections)   8.1 eV/f.u.
Crystal system   tetragonal
DOS at the Fermi energy   7.31 states/eV/f.u.
Energy above the most stable polymorph in this dataset   0.960 eV per atom
Total magnetization   0.0 μB per formula unit

(5)
Computed, not measured: an optimized crystal structure of OsS2NCl at the PBE level of DFT.

a = 4.678 Å, b = 4.678 Å, c = 3.215 Å
α = 90.00°, β = 90.00°, γ = 90.00°
Element x y z (fractional)
Cl: 0.000 0.000 0.000
S: 0.000 0.500 0.000
N: 0.000 0.000 0.500
S: 0.500 0.000 0.000
Os: 0.500 0.500 0.500

Summary:
Formation energy (no corrections)   10.8 eV/f.u.
Crystal system   tetragonal
DOS at the Fermi energy   3.45 states/eV/f.u.
Energy above the most stable polymorph in this dataset   1.508 eV per atom
Total magnetization   0.0 μB per formula unit

(6)
Computed, not measured: an optimized crystal structure of OsSNCl2 at the PBE level of DFT.

a = 4.794 Å, b = 4.794 Å, c = 4.416 Å
α = 90.00°, β = 90.00°, γ = 90.00°
Element x y z (fractional)
N: 0.500 0.500 0.500
Cl: 0.500 0.000 0.000
Os: 0.000 0.000 0.000
Cl: 0.000 0.500 0.000
S: 0.000 0.000 0.500

Summary:
Formation energy (no corrections)   7.8 eV/f.u.
Crystal system   tetragonal
DOS at the Fermi energy   8.76 states/eV/f.u.
Energy above the most stable polymorph in this dataset   0.000 eV per atom
Total magnetization   0.0 μB per formula unit

(7)
Computed, not measured: an optimized crystal structure of OsS2NCl at the PBE level of DFT.

a = 4.145 Å, b = 4.145 Å, c = 3.962 Å
α = 90.00°, β = 90.00°, γ = 90.00°
Element x y z (fractional)
Cl: 0.000 0.000 0.500
Os: 0.500 0.500 0.500
N: 0.000 0.000 0.000
S: 0.500 0.000 0.000
S: 0.000 0.500 0.000

Summary:
Formation energy (no corrections)   8.8 eV/f.u.
Crystal system   tetragonal
DOS at the Fermi energy   4.95 states/eV/f.u.
Energy above the most stable polymorph in this dataset   1.097 eV per atom
Total magnetization   0.0 μB per formula unit

(8)
Computed, not measured: an optimized crystal structure of Sm6Os2NCl3 at the PBE level of DFT.

a = 6.864 Å, b = 6.864 Å, c = 7.686 Å
α = 98.21°, β = 98.21°, γ = 120.27°
Element x y z (fractional)
Cl: 0.844 0.156 0.500
Os: 0.330 0.670 0.000
Cl: 0.500 0.500 0.500
Sm: 0.257 0.257 0.807
Sm: 0.061 0.368 0.195
Sm: 0.368 0.061 0.195
Sm: 0.743 0.743 0.193
Sm: 0.632 0.939 0.805
Cl: 0.156 0.844 0.500
N: 0.000 0.000 0.000
Os: 0.670 0.330 0.000
Sm: 0.939 0.632 0.805

Summary:
Formation energy (no corrections)   -12.0 eV/f.u.
Crystal system   monoclinic
DOS at the Fermi energy   9.01 states/eV/f.u.
Total magnetization   0.0 μB per formula unit

(9)
Computed, not measured: an optimized crystal structure of Sr2OsNCl at the PBE level of DFT.

a = 5.488 Å, b = 5.488 Å, c = 3.786 Å
α = 90.00°, β = 90.00°, γ = 90.00°
Element x y z (fractional)
N: 0.000 0.000 0.000
Sr: 0.500 0.000 0.000
Os: 0.000 0.000 0.500
Sr: 0.000 0.500 0.000
Cl: 0.500 0.500 0.500

Summary:
Formation energy (no corrections)   -4.4 eV/f.u.
Crystal system   tetragonal
DOS at the Fermi energy   1.63 states/eV/f.u.
Total magnetization   0.0 μB per formula unit

(10)
Computed, not measured: an optimized crystal structure of Sr5OsN4Cl2 at the PBE level of DFT.

a = 6.578 Å, b = 5.696 Å, c = 8.317 Å
α = 90.00°, β = 90.00°, γ = 125.27°
Last column: magnetic moment on the atom in μB.
Element x y z (fractional)
Cl: 0.371 0.394 0.500  0.01
Sr: 0.700 0.604 0.806  0.02
Sr: 0.700 0.604 0.194  0.02
Sr: 0.525 0.000 0.500  0.05
Sr: 0.096 0.396 0.806  0.02
Os: 0.416 0.000 0.000  0.10
N: 0.047 0.710 0.000  0.01
N: 0.570 0.000 0.192  0.01
Sr: 0.096 0.396 0.194  0.02
N: 0.570 0.000 0.808  0.01
Cl: 0.977 0.606 0.500  0.01
N: 0.337 0.290 0.000  0.01

Summary:
Formation energy (no corrections)   -9.8 eV/f.u.
Crystal system   orthorhombic
DOS at the Fermi energy   4.92 states/eV/f.u.
Total magnetization   0.8 μB per formula unit

(11)
Computed, not measured: an optimized crystal structure of TeOsN2Cl at the PBE level of DFT.

a = 3.880 Å, b = 3.880 Å, c = 5.093 Å
α = 90.00°, β = 90.00°, γ = 90.00°
Element x y z (fractional)
N: 0.000 0.500 0.000
Os: 0.500 0.500 0.500
Cl: 0.000 0.000 0.000
Te: 0.000 0.000 0.500
N: 0.500 0.000 0.000

Summary:
Formation energy (no corrections)   13.7 eV/f.u.
Crystal system   tetragonal
DOS at the Fermi energy   4.59 states/eV/f.u.
Energy above the most stable polymorph in this dataset   2.122 eV per atom
Total magnetization   0.0 μB per formula unit

(12)
Computed, not measured: an optimized crystal structure of TeOsNCl2 at the PBE level of DFT.

a = 5.631 Å, b = 3.938 Å, c = 5.631 Å
α = 90.00°, β = 90.00°, γ = 90.00°
Last column: magnetic moment on the atom in μB.
Element x y z (fractional)
Cl: 0.500 0.000 0.000  0.12
Te: 0.000 0.000 0.000  -0.01
Cl: 0.000 0.000 0.500  0.11
Os: 0.500 0.500 0.500  3.72
N: 0.000 0.500 0.000  0.02

Summary:
Formation energy (no corrections)   8.5 eV/f.u.
Crystal system   tetragonal
DOS at the Fermi energy   5.61 states/eV/f.u.
Total magnetization   4.8 μB per formula unit

(13)
Computed, not measured: an optimized crystal structure of TeOsN2Cl at the PBE level of DFT.

a = 3.856 Å, b = 3.856 Å, c = 5.758 Å
α = 90.00°, β = 90.00°, γ = 90.00°
Last column: magnetic moment on the atom in μB.
Element x y z (fractional)
Te: 0.000 0.000 0.500  0.00
Cl: 0.500 0.500 0.500  0.00
N: 0.000 0.500 0.000  0.12
N: 0.500 0.000 0.000  0.12
Os: 0.000 0.000 0.000  -0.05

Summary:
Formation energy (no corrections)   3.1 eV/f.u.
Crystal system   tetragonal
DOS at the Fermi energy   1.90 states/eV/f.u.
Energy above the most stable polymorph in this dataset   0.000 eV per atom
Total magnetization   0.3 μB per formula unit